DFT (PBE-GGA) results for NaSr4Cd3 after structural relaxation.

Lattice parameters (Å, degrees): 4.158 5.851 11.699 90.00 90.00 90.00
Space group Pmmm (No. 47)
Inequivalent atoms, fractional coordinates:
1 Na 0.000 0.000 0.000
2 Sr 0.500 0.000 0.266
3 Sr 0.500 0.500 0.000
4 Sr 0.500 0.500 0.500
5 Cd 0.000 0.000 0.500
6 Cd 0.000 0.500 0.245

Properties
calculated total energy: -0.0582 Ha/atom
density of states at the Fermi level: 0.826 states/eV/atom

DFT (PBE-GGA) results for CuW2S4 after structural relaxation.

Lattice parameters (Å, degrees): 4.606 4.606 12.511 90.00 90.00 90.00
Space group I4/mmm (No. 139)
Inequivalent atoms, fractional coordinates:
1 Cu 0.000 0.000 0.000
2 W 0.000 0.000 0.392
3 S 0.000 0.000 0.218
4 S 0.000 0.500 0.000

Properties
uncorrected formation energy: 646 meV per atom
density of states at the Fermi level: 0.639 states/eV/atom

DFT (PBE-GGA) results for ZnCuNi2 after structural relaxation.

Lattice parameters (Å, degrees): 2.5715 2.5715 24.6189 90.00 90.00 120.00
Space group R3m (No. 160, hexagonal axes)
Inequivalent atoms, fractional coordinates:
1 Zn 0.0000 0.0000 0.0000
2 Cu 0.0000 0.0000 0.1668
3 Ni 0.0000 0.0000 0.4165
4 Ni 0.0000 0.0000 0.5835

Properties
calculated total energy: -0.1573 Ha/atom
density of states at the Fermi level: 0.923 states/eV/atom

DFT (PBE-GGA) results for SmErPd4 after structural relaxation.

Lattice parameters (Å, degrees): 4.118 30.813 3.952 90.00 90.00 90.00
Space group Cmmm (No. 65)
Inequivalent atoms, fractional coordinates:
1 Sm 0.000 0.200 0.000
2 Er 0.000 0.433 0.500
3 Pd 0.000 0.000 0.500
4 Pd 0.000 0.131 0.500
5 Pd 0.000 0.285 0.500
6 Pd 0.000 0.366 0.000
7 Pd 0.000 0.500 0.000

Properties
E above lowest polymorph: 121 meV per atom
density of states at the Fermi level: 0.423 states/eV/atom

DFT (PBE-GGA) results for TbThScZn after structural relaxation.

Lattice parameters (Å, degrees): 7.456 7.456 7.456 90.00 90.00 90.00
Space group F-43m (No. 216)
Inequivalent atoms, fractional coordinates:
1 Tb 0.000 0.000 0.000
2 Th 0.000 0.000 0.500
3 Sc 0.250 0.250 0.750
4 Zn 0.250 0.250 0.250

Properties
E above lowest polymorph: 194 meV per atom
density of states at the Fermi level: 1.385 states/eV/atom

density of states at the Fermi level of number 3 (ZnCuNi2)? 0.923 states/eV/atom